No. 1
Entry from Alexandria: an optimized crystal structure of TbPr5Se6 (PBE).

Cell lengths 7.350, 7.350, 7.330 Å; angles 99.64, 99.64, 120.08 degrees
Fractional positions:
Tb  0.000  0.000  0.000
Pr  0.172  0.828  0.500
Pr  0.332  0.668  0.000
Pr  0.500  0.500  0.500
Pr  0.668  0.332  0.000
Pr  0.828  0.172  0.500
Se  0.081  0.405  0.243
Se  0.241  0.241  0.752
Se  0.405  0.081  0.243
Se  0.595  0.919  0.757
Se  0.759  0.759  0.248
Se  0.919  0.595  0.757

- E_tot (eV per cell) = -71.4
- magnetization (μB per formula unit) = 0.0
- space-group type = No. 12

No. 2
Entry from Alexandria: an optimized crystal structure of Tb5Pr3Se12 (PBE).

Cell lengths 14.809, 14.809, 14.809 Å; angles 109.47, 109.47, 109.47 degrees
Fractional positions:
Tb  0.000  0.000  0.000
Tb  0.000  0.000  0.500
Tb  0.000  0.500  0.000
Tb  0.000  0.500  0.500
Tb  0.125  0.750  0.875
Tb  0.125  0.875  0.250
Tb  0.250  0.125  0.875
Tb  0.250  0.625  0.375
Tb  0.375  0.250  0.625
Tb  0.375  0.625  0.750
Tb  0.500  0.000  0.000
Tb  0.500  0.000  0.500
Tb  0.500  0.500  0.000
Tb  0.500  0.500  0.500
Tb  0.625  0.375  0.250
Tb  0.625  0.750  0.375
Tb  0.750  0.375  0.625
Tb  0.750  0.875  0.125
Tb  0.875  0.125  0.750
Tb  0.875  0.250  0.125
Pr  0.125  0.250  0.375
Pr  0.125  0.375  0.750
Pr  0.250  0.375  0.125
Pr  0.250  0.875  0.625
Pr  0.375  0.125  0.250
Pr  0.375  0.750  0.125
Pr  0.625  0.250  0.875
Pr  0.625  0.875  0.750
Pr  0.750  0.125  0.375
Pr  0.750  0.625  0.875
Pr  0.875  0.625  0.250
Pr  0.875  0.750  0.625
Se  0.046  0.221  0.130
Se  0.046  0.326  0.917
Se  0.083  0.630  0.409
Se  0.083  0.954  0.674
Se  0.091  0.721  0.674
Se  0.091  0.870  0.417
Se  0.130  0.046  0.221
Se  0.130  0.583  0.909
Se  0.174  0.221  0.591
Se  0.174  0.454  0.583
Se  0.221  0.130  0.046
Se  0.221  0.591  0.174
Se  0.279  0.326  0.909
Se  0.279  0.454  0.370
Se  0.326  0.909  0.279
Se  0.326  0.917  0.046
Se  0.370  0.279  0.454
Se  0.370  0.591  0.917
Se  0.409  0.083  0.630
Se  0.409  0.826  0.779
Se  0.417  0.091  0.870
Se  0.417  0.826  0.546
Se  0.454  0.370  0.279
Se  0.454  0.583  0.174
Se  0.546  0.417  0.826
Se  0.546  0.630  0.721
Se  0.583  0.174  0.454
Se  0.583  0.909  0.130
Se  0.591  0.174  0.221
Se  0.591  0.917  0.370
Se  0.630  0.409  0.083
Se  0.630  0.721  0.546
Se  0.674  0.083  0.954
Se  0.674  0.091  0.721
Se  0.721  0.546  0.630
Se  0.721  0.674  0.091
Se  0.779  0.409  0.826
Se  0.779  0.870  0.954
Se  0.826  0.546  0.417
Se  0.826  0.779  0.409
Se  0.870  0.417  0.091
Se  0.870  0.954  0.779
Se  0.909  0.130  0.583
Se  0.909  0.279  0.326
Se  0.917  0.046  0.326
Se  0.917  0.370  0.591
Se  0.954  0.674  0.083
Se  0.954  0.779  0.870

- E_tot (eV per cell) = -455.0
- magnetization (μB per formula unit) = 0.0
- space-group type = No. 230

No. 3
Entry from Alexandria: an optimized crystal structure of Tb4PrSe7 (PBE).

Cell lengths 7.094, 7.094, 12.334 Å; angles 103.74, 103.74, 32.82 degrees
Fractional positions:
Tb  0.000  0.000  0.000
Tb  0.187  0.187  0.767
Tb  0.588  0.588  0.397
Tb  0.888  0.888  0.584
Pr  0.774  0.774  0.161
Se  0.138  0.138  0.232
Se  0.229  0.229  0.532
Se  0.390  0.390  0.076
Se  0.547  0.547  0.632
Se  0.625  0.625  0.928
Se  0.845  0.845  0.797
Se  0.931  0.931  0.372

- E_tot (eV per cell) = -70.0
- magnetization (μB per formula unit) = 0.0
- space-group type = No. 8

No. 4
Entry from Alexandria: an optimized crystal structure of Tb3Pr2Se8 (PBE).

Cell lengths 8.404, 8.404, 7.099 Å; angles 106.84, 106.84, 59.87 degrees
Fractional positions:
Tb  0.000  0.000  0.000
Tb  0.261  0.739  0.500
Tb  0.739  0.261  0.500
Pr  0.261  0.261  0.839
Pr  0.739  0.739  0.161
Se  0.115  0.115  0.421
Se  0.116  0.644  0.089
Se  0.356  0.884  0.911
Se  0.378  0.378  0.571
Se  0.622  0.622  0.429
Se  0.644  0.116  0.089
Se  0.884  0.356  0.911
Se  0.885  0.885  0.579

- E_tot (eV per cell) = -73.8
- magnetization (μB per formula unit) = 0.0
- space-group type = No. 12

No. 5
Entry from Alexandria: an optimized crystal structure of Tb4PrSe5 (PBE).

Cell lengths 10.965, 10.965, 10.965 Å; angles 158.34, 149.14, 38.02 degrees
Fractional positions:
Tb  0.099  0.099  0.000
Tb  0.297  0.297  0.000
Tb  0.703  0.703  0.000
Tb  0.901  0.901  0.000
Pr  0.500  0.500  0.000
Se  0.000  0.500  0.500
Se  0.199  0.699  0.500
Se  0.395  0.895  0.500
Se  0.605  0.105  0.500
Se  0.801  0.301  0.500

- E_tot (eV per cell) = -58.5
- magnetization (μB per formula unit) = 0.0
- space-group type = No. 71

No. 6
Entry from Alexandria: an optimized crystal structure of TbPrSe3 (PBE).

Cell lengths 8.219, 4.152, 8.329 Å; angles 90.00, 94.72, 90.00 degrees
Fractional positions:
Tb  0.146  0.250  0.176
Tb  0.854  0.750  0.824
Pr  0.379  0.750  0.729
Pr  0.621  0.250  0.271
Se  0.101  0.250  0.820
Se  0.316  0.250  0.476
Se  0.375  0.750  0.111
Se  0.625  0.250  0.889
Se  0.684  0.750  0.524
Se  0.899  0.750  0.180

- magnetization (μB per formula unit) = 0.0
- offset from the most stable computed form (kJ per mole of atoms) = 2.1
- space-group type = No. 11

No. 7
Entry from Alexandria: an optimized crystal structure of TbPr2Se4 (PBE).

Cell lengths 8.345, 8.345, 8.345 Å; angles 119.83, 119.00, 91.02 degrees
Fractional positions:
Tb  0.500  0.000  0.000
Tb  0.500  0.500  0.500
Pr  0.000  0.000  0.000
Pr  0.000  0.000  0.500
Pr  0.000  0.500  0.000
Pr  0.500  0.000  0.500
Se  0.251  0.743  0.509
Se  0.254  0.255  0.501
Se  0.254  0.754  0.999
Se  0.266  0.257  0.009
Se  0.734  0.743  0.991
Se  0.746  0.246  0.001
Se  0.746  0.745  0.499
Se  0.749  0.257  0.491

- magnetization (μB per formula unit) = 0.0
- offset from the most stable computed form (kJ per mole of atoms) = 0.0
- space-group type = No. 74

No. 8
Entry from Alexandria: an optimized crystal structure of Tb3Pr2Se6 (PBE).

Cell lengths 7.166, 7.166, 7.231 Å; angles 99.54, 99.54, 119.77 degrees
Fractional positions:
Tb  0.000  0.000  0.000
Tb  0.334  0.666  0.000
Tb  0.666  0.334  0.000
Pr  0.165  0.835  0.500
Pr  0.835  0.165  0.500
Se  0.086  0.414  0.240
Se  0.260  0.260  0.756
Se  0.414  0.086  0.240
Se  0.586  0.914  0.760
Se  0.740  0.740  0.244
Se  0.914  0.586  0.760

- E_tot (eV per cell) = -65.1
- magnetization (μB per formula unit) = 0.0
- space-group type = No. 12